(1)
VASP calculation (GGA-PBE) on a geometry-optimized NdThTl structure.

Computed properties:
crystal system = cubic
DFT total energy = -14.1 eV for the cell shown

Structure (POSCAR):
```
NdThTl
1.0
-0.075 -1.500 5.086
-3.892 1.661 3.197
-3.676 -3.423 1.701
Nd Th Tl
1 1 1
Cartesian
-1.911 -0.815 2.496
-5.733 -2.446 7.488
0.000 0.000 0.000
```

(2)
VASP calculation (GGA-PBE) on a geometry-optimized NdTmTh structure.

Computed properties:
energy relative to the elements = 2.291 eV/f.u.
crystal system = cubic

Structure (POSCAR):
```
NdTmTh
1.0
3.010 -2.412 3.812
-2.377 -3.033 3.815
0.622 -5.387 -0.041
Nd Th Tm
1 1 1
Cartesian
0.314 -2.708 1.897
0.941 -8.124 5.690
0.000 0.000 0.000
```